1.
## ScHg2Te (PBE-GGA)

Data for ScHg2Te after structural relaxation.

a = 3.826 Å, b = 3.826 Å, c = 6.835 Å
α = 90.00°, β = 90.00°, γ = 90.00°
Positions (direct):
1 Sc 0.000 0.000 0.000
2 Hg 0.000 0.000 0.495
3 Hg 0.500 0.500 0.727
4 Te 0.500 0.500 0.183

Output
**Magnetization**: 0.0 μB per formula unit
**Crystal system**: tetragonal
**Calculated total energy**: -2.949 eV/atom

2.
## Zr2RuC (PBE-GGA)

Data for Zr2RuC after structural relaxation.

a = 5.656 Å, b = 5.656 Å, c = 5.656 Å
α = 110.66°, β = 110.66°, γ = 107.12°
Positions (direct):
1 Zr 0.070 0.625 0.945
2 Zr 0.375 0.320 0.445
3 Zr 0.680 0.125 0.055
4 Zr 0.875 0.930 0.555
5 Ru 0.250 0.750 0.500
6 Ru 0.500 0.500 0.000
7 C 0.000 0.000 0.000
8 C 0.750 0.250 0.500

Output
**Magnetization**: 0.0 μB per formula unit
**Crystal system**: tetragonal
**Calculated total energy**: -8.796 eV/atom
**DFT formation energy**: 103 meV/atom

3.
## CePm2Ir (PBE-GGA)

Data for CePm2Ir after structural relaxation.

a = 3.564 Å, b = 3.564 Å, c = 8.801 Å
α = 90.00°, β = 90.00°, γ = 90.00°
Positions (direct):
1 Ce 0.000 0.000 0.000
2 Pm 0.500 0.500 0.310
3 Pm 0.500 0.500 0.690
4 Ir 0.000 0.000 0.500

Output
**Magnetization**: 1.7 μB per formula unit
**E above lowest polymorph**: 215 meV/atom
**Crystal system**: tetragonal
**Calculated total energy**: -6.308 eV/atom
**DFT formation energy**: -234 meV/atom

4.
## PRhI (PBE-GGA)

Data for PRhI after structural relaxation.

a = 3.331 Å, b = 2.920 Å, c = 6.898 Å
α = 90.00°, β = 91.22°, γ = 90.00°
Positions (direct):
1 P 0.000 0.000 0.000
2 Rh 0.496 0.500 0.144
3 I 0.679 0.500 0.539

Output
**Magnetization**: 0.0 μB per formula unit
**E above lowest polymorph**: 236 meV/atom
**Crystal system**: monoclinic
**Calculated total energy**: -4.679 eV/atom

5.
## SiTeHN2 (PBE-GGA)

Data for SiTeHN2 after structural relaxation.

a = 4.099 Å, b = 4.099 Å, c = 3.481 Å
α = 90.00°, β = 90.00°, γ = 90.00°
Positions (direct):
1 Si 0.000 0.000 0.000
2 Te 0.500 0.500 0.000
3 H 0.500 0.500 0.500
4 N 0.000 0.500 0.500
5 N 0.500 0.000 0.500

Output
**Magnetization**: 0.7 μB per formula unit
**E above lowest polymorph**: 1247 meV/atom
**Crystal system**: tetragonal
**Calculated total energy**: -3.729 eV/atom

6.
## Na2AgAsCl6 (PBE-GGA)

Data for Na2AgAsCl6 after structural relaxation.

a = 6.898 Å, b = 6.904 Å, c = 7.282 Å
α = 61.73°, β = 89.97°, γ = 60.03°
Positions (direct):
1 Na 0.000 0.000 0.000
2 Na 0.490 0.020 0.470
3 Ag 0.289 0.421 0.870
4 As 0.799 0.402 0.397
5 Cl 0.048 0.272 0.168
6 Cl 0.164 0.254 0.652
7 Cl 0.441 0.511 0.169
8 Cl 0.581 0.512 0.652
9 Cl 0.680 0.879 0.169
10 Cl 0.905 0.931 0.652

Output
**Magnetization**: 0.0 μB per formula unit
**E above lowest polymorph**: 0 meV/atom
**Crystal system**: triclinic
**Calculated total energy**: -3.183 eV/atom

7.
## SrTl2RhO6 (PBE-GGA)

Data for SrTl2RhO6 after structural relaxation.

a = 6.096 Å, b = 6.096 Å, c = 6.096 Å
α = 56.66°, β = 56.66°, γ = 56.66°
Positions (direct):
1 Sr 0.000 0.000 0.000
2 Tl 0.266 0.266 0.266
3 Tl 0.784 0.784 0.784
4 Rh 0.482 0.482 0.482
5 O 0.129 0.663 0.410
6 O 0.240 0.584 0.834
7 O 0.410 0.129 0.663
8 O 0.584 0.834 0.240
9 O 0.663 0.410 0.129
10 O 0.834 0.240 0.584

Output
**Magnetization**: 1.1 μB per formula unit
**Crystal system**: trigonal
**Calculated total energy**: -5.449 eV/atom

8.
## Ca2InGe (PBE-GGA)

Data for Ca2InGe after structural relaxation.

a = 10.845 Å, b = 10.845 Å, c = 10.845 Å
α = 153.57°, β = 153.57°, γ = 37.72°
Positions (direct):
1 Ca 0.108 0.625 0.983
2 Ca 0.375 0.358 0.483
3 Ca 0.642 0.125 0.017
4 Ca 0.875 0.892 0.517
5 In 0.250 0.750 0.500
6 In 0.500 0.500 0.000
7 Ge 0.000 0.000 0.000
8 Ge 0.750 0.250 0.500

Output
**Magnetization**: 0.0 μB per formula unit
**Crystal system**: tetragonal
**Calculated total energy**: -2.839 eV/atom
**DFT formation energy**: 1 meV/atom

9.
## MnNi2Ru (PBE-GGA)

Data for MnNi2Ru after structural relaxation.

a = 4.428 Å, b = 4.428 Å, c = 4.424 Å
α = 100.18°, β = 100.18°, γ = 34.48°
Positions (direct):
1 Mn 0.000 0.000 0.000
2 Ni 0.496 0.496 0.492
3 Ni 0.748 0.748 0.257
4 Ru 0.248 0.248 0.753

Output
**Magnetization**: 2.4 μB per formula unit
**Crystal system**: monoclinic
**Calculated total energy**: -7.442 eV/atom
**DFT formation energy**: 60 meV/atom

10.
## YTaTl2 (PBE-GGA)

Data for YTaTl2 after structural relaxation.

a = 3.216 Å, b = 3.216 Å, c = 8.967 Å
α = 90.00°, β = 90.00°, γ = 90.00°
Positions (direct):
1 Y 0.000 0.000 0.000
2 Ta 0.000 0.000 0.500
3 Tl 0.500 0.500 0.265
4 Tl 0.500 0.500 0.735

Output
**Magnetization**: 0.6 μB per formula unit
**Crystal system**: tetragonal
**Calculated total energy**: -5.543 eV/atom
**DFT formation energy**: 219 meV/atom

11.
## Tm3ZrZn2 (PBE-GGA)

Data for Tm3ZrZn2 after structural relaxation.

a = 3.425 Å, b = 3.425 Å, c = 11.927 Å
α = 90.00°, β = 90.00°, γ = 90.00°
Positions (direct):
1 Tm 0.000 0.000 0.000
2 Tm 0.000 0.000 0.310
3 Tm 0.000 0.000 0.690
4 Zr 0.500 0.500 0.500
5 Zn 0.500 0.500 0.151
6 Zn 0.500 0.500 0.849

Output
**Magnetization**: 0.0 μB per formula unit
**Crystal system**: tetragonal
**Calculated total energy**: -4.296 eV/atom
**DFT formation energy**: -211 meV/atom

12.
## CoIN2 (PBE-GGA)

Data for CoIN2 after structural relaxation.

a = 5.617 Å, b = 5.617 Å, c = 5.617 Å
α = 122.49°, β = 122.49°, γ = 85.73°
Positions (direct):
1 Co 0.000 0.000 0.000
2 Co 0.750 0.250 0.500
3 I 0.250 0.750 0.500
4 I 0.500 0.500 0.000
5 N 0.375 0.224 0.349
6 N 0.776 0.125 0.151
7 N 0.875 0.026 0.651
8 N 0.974 0.625 0.849

Output
**Magnetization**: 0.0 μB per formula unit
**E above lowest polymorph**: 25 meV/atom
**Crystal system**: tetragonal
**Calculated total energy**: -5.279 eV/atom

13.
## Ba3NpNi2S6 (PBE-GGA)

Data for Ba3NpNi2S6 after structural relaxation.

a = 7.224 Å, b = 7.224 Å, c = 7.957 Å
α = 90.00°, β = 90.00°, γ = 120.00°
Positions (direct):
1 Ba 0.000 0.000 0.000
2 Ba 0.333 0.667 0.638
3 Ba 0.667 0.333 0.362
4 Np 0.000 0.000 0.500
5 Ni 0.333 0.667 0.248
6 Ni 0.667 0.333 0.752
7 S 0.166 0.331 0.298
8 S 0.166 0.834 0.298
9 S 0.331 0.166 0.702
10 S 0.669 0.834 0.298
11 S 0.834 0.166 0.702
12 S 0.834 0.669 0.702

Output
**Magnetization**: 1.0 μB per formula unit
**Crystal system**: trigonal
**Calculated total energy**: -5.856 eV/atom